No. 1
Below is crystalline TlZnFeS3 at its relaxed geometry, with properties calculated at the PBE-GGA level.

Structure (POSCAR):
```
TlZnFeS3
1.0
-4.622 6.015 1.296
-1.544 -0.505 -3.161
-4.614 -8.826 3.663
S Fe Zn Tl
6 2 2 2
Cartesian
-2.994 1.398 0.240
-5.336 -6.776 0.691
-7.787 -4.713 1.558
-3.863 -3.778 1.491
-5.445 3.460 1.107
-6.917 0.463 0.307
-4.195 -5.175 -0.122
-6.585 1.860 1.920
-4.676 2.560 -1.122
-6.104 -5.875 2.920
-7.058 -2.131 2.788
-3.722 -1.185 -0.990
```

Properties
Space-group type = No. 11
Spin magnetization = 1.28 Bohr magnetons per cell
E_tot = -4.436 eV/atom

***

No. 2
Below is crystalline Lu2Sn3Mo4C3 at its relaxed geometry, with properties calculated at the PBE-GGA level.

Structure (POSCAR):
```
Lu2Sn3Mo4C3
1.0
-2.460 -5.139 0.253
2.248 -4.357 -2.914
7.954 -0.093 11.801
Mo Lu C Sn
8 4 6 6
Cartesian
4.113 -1.141 6.774
4.028 -7.432 4.967
0.791 -7.262 -1.431
0.991 -0.952 0.298
6.950 -2.327 10.571
3.628 -8.448 2.366
6.750 -8.637 8.842
3.713 -2.158 4.173
3.438 -5.167 3.003
6.659 -5.339 9.412
4.303 -4.423 6.136
1.082 -4.251 -0.273
2.637 -5.817 5.158
1.124 -2.179 -1.457
-1.304 -4.130 -0.283
2.747 -2.616 6.027
5.105 -3.773 3.982
1.091 -5.366 -2.379
1.399 -2.995 2.492
4.117 -4.400 0.116
6.342 -6.594 6.648
3.624 -5.189 9.024
6.423 -2.868 7.688
1.318 -6.722 1.452
```

Properties
Space-group type = No. 15
Spin magnetization = 0.01 Bohr magnetons per cell
E_tot = -7.944 eV/atom

***

Results for ρ: 5.1, 9.6 (in g/cm³, following the order of the records).